VASP calculation (PBE-GGA) on a relaxed SrCaBiH2 crystal.

```
SrCaBiH2
1.0
-3.2513 3.3225 -1.6924
-2.2058 -2.9334 5.7095
3.2266 5.1367 3.8857
Sr Ca Bi H
2 2 2 4
Direct
0.7257 0.4515 0.7500 Sr
0.2743 0.5485 0.2500 Sr
0.0000 0.0000 0.0000 Ca
0.0000 0.0000 0.5000 Ca
0.4436 0.8871 0.7500 Bi
0.5564 0.1129 0.2500 Bi
0.1784 0.3568 0.9449 H
0.8216 0.6432 0.0551 H
0.1784 0.3568 0.5551 H
0.8216 0.6432 0.4449 H
```

Calculated values
The total energy is -3.390 eV/atom. Its density of states at the Fermi level is 1.3 states/eV/f.u. The calculated density comes out at 4.993 g/cm3.